Zn2InBr | PBE-GGA | relaxed

```
4
Lattice="1.874 1.082 7.598 -1.874 1.082 7.598 0.000 -2.164 7.598" Properties=species:S:1:pos:R:3 pbc="T T T"
Zn 0.000 0.000 5.661
Zn 0.000 0.000 17.134
In 0.000 0.000 11.397
Br 0.000 0.000 0.000
```

## Properties
Its space-group type is No. 166. For the final energy, the calculation gives -7.17 eV per cell. The magnetic moment comes out at 0.000 Bohr magnetons per cell.